No. 1
DFT (GGA-PBE) results for crystalline CaTa3O at its relaxed geometry.

**Total DFT energy (no corrections)**: -8.66 eV per atom
**Space group**: Pm-3m, No. 221
**Excess energy over the best structure of this formula in the dataset**: 0 meV per atom

a = 4.407 Å, b = 4.407 Å, c = 4.407 Å
α = 90.00°, β = 90.00°, γ = 90.00°
Atoms (fractional coordinates):
Ca  0.500  0.500  0.500
O  0.000  0.000  0.000
Ta  0.000  0.500  0.000
Ta  0.000  0.000  0.500
Ta  0.500  0.000  0.000


No. 2
DFT (GGA-PBE) results for crystalline PrDyLu at its relaxed geometry.

**Total DFT energy (no corrections)**: -4.55 eV per atom
**Space group**: P-6m2, No. 187
**Energy of formation from the pure elements**: 0.081 eV/atom
**Excess energy over the best structure of this formula in the dataset**: 50 meV per atom

a = 3.479 Å, b = 5.666 Å, c = 5.666 Å
α = 120.00°, β = 90.00°, γ = 90.00°
Atoms (fractional coordinates):
Pr  0.667  0.667  0.333
Lu  0.166  0.333  0.667
Dy  0.167  0.000  0.000


No. 3
DFT (GGA-PBE) results for crystalline Y2MgTlB at its relaxed geometry.

**Total DFT energy (no corrections)**: -4.89 eV per atom
**Space group**: P4/mmm, No. 123
**Energy of formation from the pure elements**: -0.174 eV/atom

a = 5.089 Å, b = 5.089 Å, c = 4.583 Å
α = 90.00°, β = 90.00°, γ = 90.00°
Atoms (fractional coordinates):
Y  0.000  0.500  0.000
Y  0.500  0.000  0.000
Tl  0.500  0.500  0.500
B  0.000  0.000  0.000
Mg  0.000  0.000  0.500


No. 4
DFT (GGA-PBE) results for crystalline SrCd2Os at its relaxed geometry.

**Total DFT energy (no corrections)**: -3.22 eV per atom
**Space group**: Fm-3m, No. 225
**Energy of formation from the pure elements**: 0.465 eV/atom

a = 5.011 Å, b = 5.011 Å, c = 5.011 Å
α = 60.00°, β = 60.00°, γ = 60.00°
Atoms (fractional coordinates):
Sr  0.000  0.000  0.000
Os  0.500  0.500  0.500
Cd  0.250  0.250  0.250
Cd  0.750  0.750  0.750


No. 5
DFT (GGA-PBE) results for crystalline Sr6As3H at its relaxed geometry.

**Total DFT energy (no corrections)**: -3.60 eV per atom
**Space group**: Cmc2_1, No. 36

a = 7.348 Å, b = 9.715 Å, c = 9.715 Å
α = 102.45°, β = 90.00°, γ = 90.00°
Atoms (fractional coordinates):
Sr  0.191  0.687  0.640
Sr  0.691  0.640  0.687
Sr  0.187  0.429  0.891
Sr  0.687  0.891  0.429
Sr  0.170  0.043  0.957
Sr  0.674  0.220  0.780
Sr  0.174  0.780  0.220
Sr  0.670  0.957  0.043
Sr  0.187  0.109  0.571
Sr  0.687  0.571  0.109
Sr  0.191  0.360  0.313
Sr  0.691  0.313  0.360
As  0.472  0.930  0.717
As  0.972  0.717  0.930
As  0.409  0.390  0.610
As  0.909  0.610  0.390
As  0.972  0.070  0.283
As  0.472  0.283  0.070
H  0.031  0.194  0.806
H  0.531  0.806  0.194


No. 6
DFT (GGA-PBE) results for crystalline CrFe2As at its relaxed geometry.

**Total DFT energy (no corrections)**: -7.74 eV per atom
**Space group**: Pmmm, No. 47
**Energy of formation from the pure elements**: 0.056 eV/atom

a = 3.009 Å, b = 3.950 Å, c = 4.086 Å
α = 90.00°, β = 90.00°, γ = 90.00°
Atoms (fractional coordinates):
As  0.500  0.000  0.500
Cr  0.000  0.500  0.500
Fe  0.000  0.000  0.000
Fe  0.500  0.500  0.000


No. 7
DFT (GGA-PBE) results for crystalline CeH8Rh2 at its relaxed geometry.

**Total DFT energy (no corrections)**: -4.43 eV per atom
**Space group**: I4/mmm, No. 139
**Excess energy over the best structure of this formula in the dataset**: 88 meV per atom

a = 4.407 Å, b = 4.407 Å, c = 5.949 Å
α = 111.74°, β = 111.74°, γ = 90.00°
Atoms (fractional coordinates):
Ce  0.500  0.500  0.000
H  0.934  0.934  0.319
H  0.066  0.066  0.681
H  0.615  0.615  0.681
H  0.615  0.066  0.681
H  0.385  0.385  0.319
H  0.385  0.934  0.319
H  0.934  0.385  0.319
H  0.066  0.615  0.681
Rh  0.250  0.750  0.500
Rh  0.750  0.250  0.500


No. 8
DFT (GGA-PBE) results for crystalline Mg3PN at its relaxed geometry.

**Total DFT energy (no corrections)**: -4.04 eV per atom
**Space group**: R-3c, No. 167
**Excess energy over the best structure of this formula in the dataset**: 401 meV per atom

a = 6.571 Å, b = 6.571 Å, c = 6.571 Å
α = 56.96°, β = 56.96°, γ = 56.96°
Atoms (fractional coordinates):
P  0.000  0.000  0.000
P  0.500  0.500  0.500
Mg  0.935  0.565  0.250
Mg  0.565  0.250  0.935
Mg  0.250  0.935  0.565
Mg  0.750  0.065  0.435
Mg  0.435  0.750  0.065
Mg  0.065  0.435  0.750
N  0.250  0.250  0.250
N  0.750  0.750  0.750


No. 9
DFT (GGA-PBE) results for crystalline Pm3DyN4 at its relaxed geometry.

**Total DFT energy (no corrections)**: -8.00 eV per atom
**Space group**: Pm-3m, No. 221
**Excess energy over the best structure of this formula in the dataset**: 7 meV per atom

a = 5.066 Å, b = 5.066 Å, c = 5.066 Å
α = 90.00°, β = 90.00°, γ = 90.00°
Atoms (fractional coordinates):
Pm  0.000  0.500  0.500
Pm  0.500  0.000  0.500
Pm  0.500  0.500  0.000
Dy  0.000  0.000  0.000
N  0.500  0.000  0.000
N  0.000  0.500  0.000
N  0.000  0.000  0.500
N  0.500  0.500  0.500


No. 10
DFT (GGA-PBE) results for crystalline LaP2PbO8 at its relaxed geometry.

**Total DFT energy (no corrections)**: -7.20 eV per atom
**Space group**: P-3, No. 147

a = 5.513 Å, b = 5.513 Å, c = 7.620 Å
α = 90.00°, β = 90.00°, γ = 120.00°
Atoms (fractional coordinates):
La  0.000  0.000  0.500
P  0.667  0.333  0.213
P  0.333  0.667  0.787
Pb  0.000  0.000  0.000
O  0.333  0.667  0.989
O  0.361  0.183  0.282
O  0.817  0.178  0.282
O  0.667  0.333  0.011
O  0.183  0.822  0.718
O  0.639  0.817  0.718
O  0.178  0.361  0.718
O  0.822  0.639  0.282


No. 11
DFT (GGA-PBE) results for crystalline K2AgSeI6 at its relaxed geometry.

**Total DFT energy (no corrections)**: -2.32 eV per atom
**Space group**: R-3m, No. 166

a = 8.114 Å, b = 8.114 Å, c = 15.060 Å
α = 74.37°, β = 74.37°, γ = 60.00°
Atoms (fractional coordinates):
K  0.889  0.889  0.333
K  0.111  0.111  0.667
K  0.693  0.693  0.920
K  0.307  0.307  0.080
Ag  0.583  0.583  0.251
Ag  0.417  0.417  0.749
Se  0.000  0.000  0.000
Se  0.500  0.500  0.500
I  0.880  0.369  0.383
I  0.369  0.880  0.383
I  0.369  0.369  0.383
I  0.120  0.631  0.617
I  0.631  0.120  0.617
I  0.631  0.631  0.617
I  0.701  0.211  0.877
I  0.211  0.701  0.877
I  0.211  0.211  0.877
I  0.299  0.789  0.123
I  0.789  0.299  0.123
I  0.789  0.789  0.123


No. 12
DFT (GGA-PBE) results for crystalline Rb3Er2NpSe6 at its relaxed geometry.

**Total DFT energy (no corrections)**: -5.38 eV per atom
**Space group**: C2/m, No. 12

a = 7.362 Å, b = 7.362 Å, c = 8.359 Å
α = 98.42°, β = 98.42°, γ = 119.89°
Atoms (fractional coordinates):
Rb  0.166  0.834  0.500
Rb  0.834  0.166  0.500
Rb  0.500  0.500  0.500
Er  0.334  0.666  0.000
Er  0.666  0.334  0.000
Np  0.000  0.000  0.000
Se  0.934  0.595  0.805
Se  0.725  0.725  0.195
Se  0.066  0.405  0.195
Se  0.595  0.934  0.805
Se  0.275  0.275  0.805
Se  0.405  0.066  0.195